Entry 1:
The following is a DFT calculation (PBE) of MgMnBe2 after structural relaxation.

Computed properties:
Crystal system: cubic
E_form in eV per formula unit: 1.4

a b c (Å): 5.822 5.822 5.822
angles (deg): 90.00 90.00 90.00
Space group F-43m (No. 216)
One atom of each set of equivalent atoms:
Mg (0.000, 0.000, 0.000) (multiplicity 4)
Mn (0.250, 0.250, 0.250) (multiplicity 4)
Be (0.000, 0.000, 0.500) (multiplicity 4)
Be (0.250, 0.250, 0.750) (multiplicity 4)

Entry 2:
The following is a DFT calculation (PBE) of Pr6Hg2Te3Pb after structural relaxation.

Computed properties:
Crystal system: monoclinic
Energy relative to the elements, uncorrected in eV per atom: -0.962

a b c (Å): 20.236 4.464 9.238
angles (deg): 90.00 108.43 90.00
Space group C2/m (No. 12)
One atom of each set of equivalent atoms:
Pr (0.004, 0.000, 0.250) (multiplicity 4)
Pr (0.163, 0.500, 0.602) (multiplicity 4)
Pr (0.169, 0.500, 0.101) (multiplicity 4)
Hg (0.177, 0.000, 0.365) (multiplicity 4)
Te (0.000, 0.500, 0.500) (multiplicity 2)
Te (0.164, 0.000, 0.849) (multiplicity 4)
Pb (0.000, 0.500, 0.000) (multiplicity 2)

Entry 3:
The following is a DFT calculation (PBE) of CaPm4Pr7 after structural relaxation.

Computed properties:
Crystal system: triclinic
Excess energy over the best structure of this formula in the dataset in meV/atom: 0
E_form in eV per formula unit: 0.3

a b c (Å): 6.465 7.450 9.250
angles (deg): 90.05 103.45 90.08
Space group P-1 (No. 2)
One atom of each set of equivalent atoms:
Ca (0.000, 0.000, 0.000) (multiplicity 1)
Pm (0.220, 0.499, 0.670) (multiplicity 2)
Pm (0.283, 0.745, 0.335) (multiplicity 2)
Pr (0.000, 0.500, 0.000) (multiplicity 1)
Pr (0.225, 0.999, 0.659) (multiplicity 2)
Pr (0.283, 0.255, 0.335) (multiplicity 2)
Pr (0.499, 0.743, 0.001) (multiplicity 2)

Entry 4:
The following is a DFT calculation (PBE) of AlBiAsSe2 after structural relaxation.

Computed properties:
Crystal system: tetragonal
Energy relative to the elements, uncorrected in eV per atom: 0.704
Excess energy over the best structure of this formula in the dataset in meV/atom: 639

a b c (Å): 5.586 5.586 5.494
angles (deg): 90.00 90.00 90.00
Space group P4/mmm (No. 123)
One atom of each set of equivalent atoms:
Al (0.000, 0.000, 0.000) (multiplicity 1)
Bi (0.500, 0.500, 0.500) (multiplicity 1)
As (0.500, 0.500, 0.000) (multiplicity 1)
Se (0.000, 0.500, 0.500) (multiplicity 2)

Entry 5:
The following is a DFT calculation (PBE) of K2Li2SeO6 after structural relaxation.

Computed properties:
Crystal system: trigonal
Energy relative to the elements, uncorrected in eV per atom: -1.151

a b c (Å): 5.7448 5.7448 16.3017
angles (deg): 90.00 90.00 120.00
Space group R-3m (No. 166, hexagonal axes)
One atom of each set of equivalent atoms:
K (0.0000, 0.0000, 0.2179) (multiplicity 6)
Li (0.0000, 0.0000, 0.3988) (multiplicity 6)
Se (0.0000, 0.0000, 0.0000) (multiplicity 3)
O (0.0408, 0.5204, 0.7316) (multiplicity 18)

Entry 6:
The following is a DFT calculation (PBE) of Ba2ScTlSe5 after structural relaxation.

Computed properties:
Crystal system: orthorhombic
Energy relative to the elements, uncorrected in eV per atom: -1.452

a b c (Å): 4.257 18.965 13.418
angles (deg): 90.00 90.00 90.00
Space group Cmc2_1 (No. 36)
One atom of each set of equivalent atoms:
Ba (0.000, 0.121, 0.000) (multiplicity 4)
Ba (0.000, 0.138, 0.626) (multiplicity 4)
Sc (0.000, 0.212, 0.331) (multiplicity 4)
Tl (0.000, 0.453, 0.756) (multiplicity 4)
Se (0.000, 0.058, 0.377) (multiplicity 4)
Se (0.000, 0.291, 0.962) (multiplicity 4)
Se (0.000, 0.309, 0.691) (multiplicity 4)
Se (0.000, 0.350, 0.317) (multiplicity 4)
Se (0.000, 0.493, 0.078) (multiplicity 4)

Entry 7:
The following is a DFT calculation (PBE) of YErTmSc3 after structural relaxation.

Computed properties:
Crystal system: monoclinic
E_form in eV per formula unit: 0.7

a b c (Å): 16.259 5.228 7.928
angles (deg): 90.00 93.45 90.00
Space group C2/m (No. 12)
One atom of each set of equivalent atoms:
Y (0.093, 0.000, 0.082) (multiplicity 4)
Er (0.223, 0.000, 0.404) (multiplicity 4)
Tm (0.081, 0.500, 0.378) (multiplicity 4)
Sc (0.063, 0.000, 0.651) (multiplicity 4)
Sc (0.112, 0.500, 0.829) (multiplicity 4)
Sc (0.248, 0.000, 0.852) (multiplicity 4)

Entry 8:
The following is a DFT calculation (PBE) of FeGeTe2I after structural relaxation.

Computed properties:
Crystal system: tetragonal
Energy relative to the elements, uncorrected in eV per atom: 0.865
Excess energy over the best structure of this formula in the dataset in meV/atom: 381

a b c (Å): 5.427 5.427 5.604
angles (deg): 90.00 90.00 90.00
Space group P4/mmm (No. 123)
One atom of each set of equivalent atoms:
Fe (0.000, 0.000, 0.000) (multiplicity 1)
Ge (0.500, 0.500, 0.500) (multiplicity 1)
Te (0.000, 0.500, 0.500) (multiplicity 2)
I (0.500, 0.500, 0.000) (multiplicity 1)

Entry 9:
The following is a DFT calculation (PBE) of Co3CuRu after structural relaxation.

Computed properties:
Crystal system: cubic
Excess energy over the best structure of this formula in the dataset in meV/atom: 0
E_form in eV per formula unit: 7.1

a b c (Å): 4.220 4.220 4.220
angles (deg): 90.00 90.00 90.00
Space group Pm-3m (No. 221)
One atom of each set of equivalent atoms:
Co (0.000, 0.000, 0.500) (multiplicity 3)
Cu (0.000, 0.000, 0.000) (multiplicity 1)
Ru (0.500, 0.500, 0.500) (multiplicity 1)

Entry 10:
The following is a DFT calculation (PBE) of Ta2MnIn after structural relaxation.

Computed properties:
Crystal system: cubic
E_form in eV per formula unit: 1.3

a b c (Å): 6.561 6.561 6.561
angles (deg): 90.00 90.00 90.00
Space group F-43m (No. 216)
One atom of each set of equivalent atoms:
Ta (0.000, 0.000, 0.000) (multiplicity 4)
Ta (0.250, 0.250, 0.250) (multiplicity 4)
Mn (0.000, 0.000, 0.500) (multiplicity 4)
In (0.250, 0.250, 0.750) (multiplicity 4)

Entry 11:
The following is a DFT calculation (PBE) of Er2NiRh after structural relaxation.

Computed properties:
Crystal system: monoclinic
E_form in eV per formula unit: -2.8

a b c (Å): 5.539 4.115 7.534
angles (deg): 90.00 109.78 90.00
Space group P2_1/m (No. 11)
One atom of each set of equivalent atoms:
Er (0.216, 0.250, 0.430) (multiplicity 2)
Er (0.217, 0.250, 0.929) (multiplicity 2)
Ni (0.343, 0.750, 0.709) (multiplicity 2)
Rh (0.342, 0.750, 0.213) (multiplicity 2)

Entry 12:
The following is a DFT calculation (PBE) of LiCaSi2Au4 after structural relaxation.

Computed properties:
Crystal system: trigonal
Energy relative to the elements, uncorrected in eV per atom: -0.364

a b c (Å): 4.4253 4.4253 25.8087
angles (deg): 90.00 90.00 120.00
Space group R-3m (No. 166, hexagonal axes)
One atom of each set of equivalent atoms:
Li (0.0000, 0.0000, 0.0000) (multiplicity 3)
Ca (0.0000, 0.0000, 0.5000) (multiplicity 3)
Si (0.0000, 0.0000, 0.2555) (multiplicity 6)
Au (0.0000, 0.0000, 0.0984) (multiplicity 6)
Au (0.0000, 0.0000, 0.3619) (multiplicity 6)

Entry 13:
The following is a DFT calculation (PBE) of Mn2NiCl after structural relaxation.

Computed properties:
Crystal system: orthorhombic
Energy relative to the elements, uncorrected in eV per atom: 0.149
Excess energy over the best structure of this formula in the dataset in meV/atom: 176

a b c (Å): 2.960 3.411 13.029
angles (deg): 90.00 90.00 90.00
Space group Imm2 (No. 44)
One atom of each set of equivalent atoms:
Mn (0.000, 0.000, 0.000) (multiplicity 2)
Mn (0.000, 0.500, 0.293) (multiplicity 2)
Ni (0.000, 0.500, 0.869) (multiplicity 2)
Cl (0.000, 0.000, 0.625) (multiplicity 2)

Entry 14:
The following is a DFT calculation (PBE) of SrCaRe2Pt after structural relaxation.

Computed properties:
Crystal system: tetragonal
E_form in eV per formula unit: 13.9

a b c (Å): 4.747 4.747 5.075
angles (deg): 90.00 90.00 90.00
Space group P4/mmm (No. 123)
One atom of each set of equivalent atoms:
Sr (0.000, 0.000, 0.000) (multiplicity 1)
Ca (0.000, 0.000, 0.500) (multiplicity 1)
Re (0.000, 0.500, 0.000) (multiplicity 2)
Pt (0.500, 0.500, 0.500) (multiplicity 1)

Entry 15:
The following is a DFT calculation (PBE) of SrPtC2O after structural relaxation.

Computed properties:
Crystal system: tetragonal
Energy relative to the elements, uncorrected in eV per atom: 0.485

a b c (Å): 3.865 3.865 5.178
angles (deg): 90.00 90.00 90.00
Space group P4/mmm (No. 123)
One atom of each set of equivalent atoms:
Sr (0.000, 0.000, 0.000) (multiplicity 1)
Pt (0.500, 0.500, 0.500) (multiplicity 1)
C (0.000, 0.500, 0.500) (multiplicity 2)
O (0.500, 0.500, 0.000) (multiplicity 1)

Entry 16:
The following is a DFT calculation (PBE) of TaZnGeO6 after structural relaxation.

Computed properties:
Crystal system: tetragonal
Energy relative to the elements, uncorrected in eV per atom: -1.829

a b c (Å): 4.689 4.689 9.116
angles (deg): 90.00 90.00 90.00
Space group P4_2nm (No. 102)
One atom of each set of equivalent atoms:
Ta (0.000, 0.000, 0.000) (multiplicity 2)
Zn (0.000, 0.000, 0.331) (multiplicity 2)
Ge (0.000, 0.000, 0.662) (multiplicity 2)
O (0.185, 0.185, 0.824) (multiplicity 4)
O (0.197, 0.197, 0.510) (multiplicity 4)
O (0.212, 0.212, 0.150) (multiplicity 4)

Entry 17:
The following is a DFT calculation (PBE) of Ac12HoPb7 after structural relaxation.

Computed properties:
Crystal system: trigonal
E_form in eV per formula unit: -6.0

a b c (Å): 16.4493 16.4493 9.9480
angles (deg): 90.00 90.00 120.00
Space group R-3 (No. 148, hexagonal axes)
One atom of each set of equivalent atoms:
Ac (0.0292, 0.7792, 0.3820) (multiplicity 18)
Ac (0.0777, 0.5047, 0.6525) (multiplicity 18)
Ho (0.0000, 0.0000, 0.5000) (multiplicity 3)
Pb (0.0000, 0.0000, 0.0000) (multiplicity 3)
Pb (0.0152, 0.8505, 0.7062) (multiplicity 18)

Entry 18:
The following is a DFT calculation (PBE) of ZrGaSbTe2 after structural relaxation.

Computed properties:
Crystal system: tetragonal
Energy relative to the elements, uncorrected in eV per atom: -0.036
Excess energy over the best structure of this formula in the dataset in meV/atom: 0

a b c (Å): 5.624 5.624 5.613
angles (deg): 90.00 90.00 90.00
Space group P4/mmm (No. 123)
One atom of each set of equivalent atoms:
Zr (0.000, 0.000, 0.000) (multiplicity 1)
Ga (0.500, 0.500, 0.500) (multiplicity 1)
Sb (0.000, 0.000, 0.500) (multiplicity 1)
Te (0.000, 0.500, 0.000) (multiplicity 2)

Entry 19:
The following is a DFT calculation (PBE) of FePt3Br after structural relaxation.

Computed properties:
Crystal system: cubic
Energy relative to the elements, uncorrected in eV per atom: 1.047
Excess energy over the best structure of this formula in the dataset in meV/atom: 0

a b c (Å): 4.679 4.679 4.679
angles (deg): 90.00 90.00 90.00
Space group Pm-3m (No. 221)
One atom of each set of equivalent atoms:
Fe (0.000, 0.000, 0.000) (multiplicity 1)
Pt (0.000, 0.000, 0.500) (multiplicity 3)
Br (0.500, 0.500, 0.500) (multiplicity 1)

Entry 20:
The following is a DFT calculation (PBE) of TbSmMgTi after structural relaxation.

Computed properties:
Crystal system: cubic
E_form in eV per formula unit: 0.6

a b c (Å): 7.486 7.486 7.486
angles (deg): 90.00 90.00 90.00
Space group F-43m (No. 216)
One atom of each set of equivalent atoms:
Tb (0.000, 0.000, 0.000) (multiplicity 4)
Sm (0.000, 0.000, 0.500) (multiplicity 4)
Mg (0.250, 0.250, 0.750) (multiplicity 4)
Ti (0.250, 0.250, 0.250) (multiplicity 4)

Entry 21:
The following is a DFT calculation (PBE) of HfIn2Ag after structural relaxation.

Computed properties:
Crystal system: tetragonal
Excess energy over the best structure of this formula in the dataset in meV/atom: 44
E_form in eV per formula unit: -0.2

a b c (Å): 3.159 3.159 8.466
angles (deg): 90.00 90.00 90.00
Space group P4/mmm (No. 123)
One atom of each set of equivalent atoms:
Hf (0.000, 0.000, 0.000) (multiplicity 1)
In (0.500, 0.500, 0.258) (multiplicity 2)
Ag (0.000, 0.000, 0.500) (multiplicity 1)

Entry 22:
The following is a DFT calculation (PBE) of Nd5NiTe2 after structural relaxation.

Computed properties:
Crystal system: orthorhombic
Energy relative to the elements, uncorrected in eV per atom: -0.549

a b c (Å): 6.078 12.282 14.264
angles (deg): 90.00 90.00 90.00
Space group Cmcm (No. 63)
One atom of each set of equivalent atoms:
Nd (0.000, 0.061, 0.123) (multiplicity 8)
Nd (0.000, 0.325, 0.750) (multiplicity 4)
Nd (0.000, 0.376, 0.111) (multiplicity 8)
Ni (0.000, 0.222, 0.250) (multiplicity 4)
Te (0.000, 0.193, 0.564) (multiplicity 8)

Entry 23:
The following is a DFT calculation (PBE) of Tb6Hg5Ge after structural relaxation.

Computed properties:
Crystal system: orthorhombic
E_form in eV per formula unit: -6.3

a b c (Å): 5.244 15.894 7.352
angles (deg): 90.00 90.00 90.00
Space group Cmmm (No. 65)
One atom of each set of equivalent atoms:
Tb (0.000, 0.000, 0.237) (multiplicity 4)
Tb (0.000, 0.340, 0.246) (multiplicity 8)
Hg (0.000, 0.169, 0.500) (multiplicity 4)
Hg (0.000, 0.179, 0.000) (multiplicity 4)
Hg (0.000, 0.500, 0.500) (multiplicity 2)
Ge (0.000, 0.500, 0.000) (multiplicity 2)

Entry 24:
The following is a DFT calculation (PBE) of GePd6Au after structural relaxation.

Computed properties:
Crystal system: triclinic
Excess energy over the best structure of this formula in the dataset in meV/atom: 33
E_form in eV per formula unit: -1.3

a b c (Å): 5.091 5.097 5.099
angles (deg): 95.59 95.48 95.60
Space group P-1 (No. 2)
One atom of each set of equivalent atoms:
Ge (0.000, 0.000, 0.000) (multiplicity 1)
Pd (0.044, 0.576, 0.761) (multiplicity 2)
Pd (0.239, 0.955, 0.423) (multiplicity 2)
Pd (0.424, 0.239, 0.955) (multiplicity 2)
Au (0.500, 0.500, 0.500) (multiplicity 1)

| no. | raw total energy (eV/f.u.) |
| --- | --- |
| 1 | -16.81 |
| 2 | -53.96 |
| 3 | -54.17 |
| 4 | -15.72 |
| 5 | -51.92 |
| 6 | -43.03 |
| 7 | -33.78 |
| 8 | -16.59 |
| 9 | -27.55 |
| 10 | -34.29 |
| 11 | -25.02 |
| 12 | -30.78 |
| 13 | -25.37 |
| 14 | -20.77 |
| 15 | -28.71 |
| 16 | -63.95 |
| 17 | -85.82 |
| 18 | -22.16 |
| 19 | -23.02 |
| 20 | -18.27 |
| 21 | -18.53 |
| 22 | -40.29 |
| 23 | -40.17 |
| 24 | -40.31 |